Version i
# Pm2B3C

A relaxed structure of Pm2B3C (GGA-PBE, the Alexandria database).

extended XYZ file:
```
12
Lattice="5.2297 -0.5433 0.0000 -0.8645 5.1863 0.0000 -2.1826 -2.3215 5.5328" Properties=species:S:1:pos:R:3 pbc="T T T"
Pm 3.7341 0.8629 0.0000
B 2.1826 2.3215 3.6020
B 3.2174 3.4221 0.9691
C 0.0000 0.0000 3.6922
B -1.0348 -1.1006 4.5637
Pm -0.4323 2.5931 2.7664
C 2.1826 2.3215 1.8406
Pm 2.6149 -0.2716 2.7664
B 1.0348 1.1006 4.5637
Pm 0.6311 3.7802 0.0000
B 1.1478 1.2209 0.9691
B 0.0000 0.0000 1.9308
```

The value obtained for the calculated volume is 12.289 A^3/atom.

***

Version ii
# Pm2B3C

A relaxed structure of Pm2B3C (GGA-PBE, the Alexandria database).

extended XYZ file:
```
6
Lattice="4.1708 0.0000 0.0000 0.0000 3.1890 0.0000 0.0000 0.0000 5.5316" Properties=species:S:1:pos:R:3 pbc="T T T"
B 2.0854 0.0000 0.9594
B 2.0854 0.0000 4.5751
Pm 0.0000 0.0000 2.7416
Pm 0.0000 1.5945 0.0284
B 2.0854 1.5945 3.6418
C 2.0854 1.5945 1.8827
```

The value obtained for the calculated volume is 12.262 A^3/atom.

***

Taking the most stable structure as the zero point, the relative energies in meV/atom are version i 0; version ii 16.

***

Version i
# Pm2BC2

A relaxed structure of Pm2BC2 (GGA-PBE, the Alexandria database).

extended XYZ file:
```
10
Lattice="-0.0850 -0.3028 -5.3043 4.5265 -4.1245 2.8244 -6.7138 -0.6535 0.1449" Properties=species:S:1:pos:R:3 pbc="T T T"
Pm -2.1597 -1.7687 -2.5262
C -4.8169 -1.6486 -2.4905
Pm -4.8223 -1.3207 0.1524
C 2.5604 -3.4218 0.1541
C -2.3131 -1.8283 0.1412
C 0.0566 -3.2421 -2.4776
Pm -0.0968 -3.3017 0.1898
B -3.0269 -3.1279 0.2268
B 0.7704 -1.9425 -2.5632
Pm 2.5659 -3.7497 -2.4888
```

The value obtained for the calculated volume is 16.841 A^3/atom.

***

Version ii
# Pm2BC2

A relaxed structure of Pm2BC2 (GGA-PBE, the Alexandria database).

extended XYZ file:
```
10
Lattice="-0.2291 -3.0418 0.8690 2.2636 -1.8093 -5.7364 6.8852 1.7532 2.1640" Properties=species:S:1:pos:R:3 pbc="T T T"
Pm 7.9768 -2.7464 -1.7218
B 5.9816 -0.4785 -0.0977
C 5.8048 -2.2021 -0.3892
C 4.1047 -1.6869 -4.8227
Pm 1.1538 -0.5201 -1.5162
B 3.4467 -3.0259 -3.8947
Pm 4.4194 -0.9981 -2.3284
Pm 3.8633 -1.5907 1.2392
C 5.9480 -0.0388 1.4325
C 2.4226 -2.6202 -2.7445
```

The value obtained for the calculated volume is 14.791 A^3/atom.

***

Taking the most stable structure as the zero point, the relative energies in meV/atom are version i 0; version ii 142.

***

Version i
# B3PtC

A relaxed structure of B3PtC (GGA-PBE, the Alexandria database).

extended XYZ file:
```
5
Lattice="4.1113 0.0000 0.0000 0.0000 4.1113 0.0000 0.0000 0.0000 4.1113" Properties=species:S:1:pos:R:3 pbc="T T T"
B 2.0556 0.0000 0.0000
Pt 0.0000 0.0000 0.0000
B 0.0000 0.0000 2.0556
B 0.0000 2.0556 0.0000
C 2.0556 2.0556 2.0556
```

The value obtained for the calculated volume is 13.898 A^3/atom.

***

Version ii
# B3PtC

A relaxed structure of B3PtC (GGA-PBE, the Alexandria database).

extended XYZ file:
```
5
Lattice="3.5067 0.0000 0.0000 0.0000 3.5067 0.0000 0.0000 0.0000 3.5067" Properties=species:S:1:pos:R:3 pbc="T T T"
B 0.0000 1.7534 0.0000
B 1.7534 0.0000 0.0000
C 0.0000 0.0000 0.0000
Pt 1.7534 1.7534 1.7534
B 0.0000 0.0000 1.7534
```

The value obtained for the calculated volume is 8.625 A^3/atom.

***

Taking the most stable structure as the zero point, the relative energies in meV/atom are version i 692; version ii 0.

***

Version i
# PuBC2

A relaxed structure of PuBC2 (GGA-PBE, the Alexandria database).

extended XYZ file:
```
4
Lattice="3.7165 0.0000 0.0000 1.8582 3.2185 0.0000 1.8582 1.0728 4.7881" Properties=species:S:1:pos:R:3 pbc="T T T"
Pu 3.7165 2.1457 2.3940
C 1.8582 1.0728 3.3475
B 0.0000 0.0000 0.0000
C 5.5747 3.2185 1.4405
```

The value obtained for the calculated volume is 14.318 A^3/atom.

***

Version ii
# PuBC2

A relaxed structure of PuBC2 (GGA-PBE, the Alexandria database).

extended XYZ file:
```
8
Lattice="2.3566 0.0000 0.0000 0.0000 5.1930 0.0000 0.0000 0.0000 6.7190" Properties=species:S:1:pos:R:3 pbc="T T T"
Pu 0.0000 0.6404 5.0392
B 1.1783 2.0002 1.6797
B 1.1783 3.1928 5.0392
C 1.1783 1.2219 0.3552
Pu 0.0000 4.5526 1.6797
C 1.1783 3.9711 3.7147
C 1.1783 1.2219 3.0042
C 1.1783 3.9711 6.3637
```

The value obtained for the calculated volume is 10.278 A^3/atom.

***

Taking the most stable structure as the zero point, the relative energies in meV/atom are version i 0; version ii 704.

***

Version i
# Re2BC

A relaxed structure of Re2BC (GGA-PBE, the Alexandria database).

extended XYZ file:
```
4
Lattice="0.0000 2.7319 2.7319 2.7319 0.0000 2.7319 2.7319 2.7319 0.0000" Properties=species:S:1:pos:R:3 pbc="T T T"
B 0.0000 0.0000 0.0000
C 2.7319 2.7319 2.7319
Re 4.0978 4.0978 4.0978
Re 1.3659 1.3659 1.3659
```

The value obtained for the calculated volume is 10.194 A^3/atom.

***

Version ii
# Re2BC

A relaxed structure of Re2BC (GGA-PBE, the Alexandria database).

extended XYZ file:
```
8
Lattice="4.6863 0.0000 0.0000 0.0000 4.6863 0.0000 2.3431 2.3431 4.7346" Properties=species:S:1:pos:R:3 pbc="T T T"
B 2.3431 2.3431 0.0000
C 4.6863 2.3431 2.3673
Re 5.8579 5.9146 3.5509
C 0.0000 0.0000 0.0000
Re 3.5147 3.4580 3.5509
B 2.3431 4.6863 2.3673
Re 3.5714 1.1716 1.1836
Re 1.1149 3.5147 1.1836
```

The value obtained for the calculated volume is 12.997 A^3/atom.

***

Taking the most stable structure as the zero point, the relative energies in meV/atom are version i 0; version ii 23.

***

Version i
# Re2BC2

A relaxed structure of Re2BC2 (GGA-PBE, the Alexandria database).

extended XYZ file:
```
5
Lattice="3.9873 0.0000 0.0000 0.0000 3.9873 0.0000 1.9936 1.9936 3.0301" Properties=species:S:1:pos:R:3 pbc="T T T"
C 1.9936 1.9936 0.7251
Re 3.9873 1.9936 1.5151
B 0.0000 0.0000 0.0000
Re 1.9936 3.9873 1.5151
C 3.9873 3.9873 2.3050
```

The value obtained for the calculated volume is 9.635 A^3/atom.

***

Version ii
# Re2BC2

A relaxed structure of Re2BC2 (GGA-PBE, the Alexandria database).

extended XYZ file:
```
10
Lattice="5.8868 0.0000 0.0000 0.0000 5.8868 0.0000 0.0000 0.0000 2.7742" Properties=species:S:1:pos:R:3 pbc="T T T"
Re 4.9251 1.9817 1.3871
C 0.8298 2.1136 0.0000
B 0.0000 0.0000 0.0000
Re 0.9617 3.9051 1.3871
C 3.7732 0.8298 0.0000
Re 1.9817 0.9617 1.3871
C 2.1136 5.0570 0.0000
B 2.9434 2.9434 0.0000
C 5.0570 3.7732 0.0000
Re 3.9051 4.9251 1.3871
```

The value obtained for the calculated volume is 9.614 A^3/atom.

***

Taking the most stable structure as the zero point, the relative energies in meV/atom are version i 0; version ii 680.